Here is crystalline MgBBr2 at its relaxed geometry from the Alexandria database. Energies are from PBE-GGA.

Cell: 4.9005 4.9005 4.9005 Å, 60.00 60.00 60.00°
Fractional coordinates of all 4 atoms:
Mg (0.0000, 0.0000, 0.0000)
B (0.5000, 0.5000, 0.5000)
Br (0.2500, 0.2500, 0.2500)
Br (0.7500, 0.7500, 0.7500)

Properties
For the volume, the calculation gives 83 Å³ per cell. Its crystal system is cubic. Its space group is Fm-3m (225). The value obtained for the energy relative to the elements, uncorrected is 0.535 eV/atom. The calculation puts the excess energy over the best structure of this formula in the dataset at 256 meV per atom.

---

Here is crystalline NaInCl2F at its relaxed geometry from the Alexandria database. Energies are from PBE-GGA.

Cell: 5.4656 5.4656 4.4359 Å, 90.00 90.00 90.00°
Fractional coordinates of all 5 atoms:
Na (0.0000, 0.0000, 0.0000)
In (0.5000, 0.5000, 0.5000)
Cl (0.0000, 0.5000, 0.5000)
Cl (0.5000, 0.0000, 0.5000)
F (0.5000, 0.5000, 0.0000)

Properties
For the volume, the calculation gives 133 Å³ per cell. Its crystal system is tetragonal. Its space group is P4/mmm (123). The value obtained for the energy relative to the elements, uncorrected is -1.501 eV/atom.

---

Here is crystalline CaTcGeO6 at its relaxed geometry from the Alexandria database. Energies are from PBE-GGA.

Cell: 5.1201 5.1201 10.1250 Å, 90.00 90.00 120.00°
Fractional coordinates of all 18 atoms:
Ca (0.0000, 0.0000, 0.0000)
Ca (0.0000, 0.0000, 0.5000)
Tc (0.3333, 0.6667, 0.2500)
Tc (0.6667, 0.3333, 0.7500)
Ge (0.3333, 0.6667, 0.7500)
Ge (0.6667, 0.3333, 0.2500)
O (0.0025, 0.3775, 0.6450)
O (0.0025, 0.6251, 0.8550)
O (0.3749, 0.3775, 0.8550)
O (0.3749, 0.9975, 0.6450)
O (0.3775, 0.0025, 0.1450)
O (0.3775, 0.3749, 0.3550)
O (0.6225, 0.6251, 0.6450)
O (0.6225, 0.9975, 0.8550)
O (0.6251, 0.0025, 0.3550)
O (0.6251, 0.6225, 0.1450)
O (0.9975, 0.3749, 0.1450)
O (0.9975, 0.6225, 0.3550)

Properties
For the volume, the calculation gives 230 Å³ per cell. Its crystal system is trigonal. Its space group is P-31c (163). The value obtained for the energy relative to the elements, uncorrected is -1.823 eV/atom.

---

Here is crystalline YTiCo2Ag at its relaxed geometry from the Alexandria database. Energies are from PBE-GGA.

Cell: 4.7349 4.7349 5.0875 Å, 90.00 90.00 90.00°
Fractional coordinates of all 5 atoms:
Y (0.0000, 0.0000, 0.0000)
Ti (0.5000, 0.5000, 0.0000)
Co (0.0000, 0.5000, 0.5000)
Co (0.5000, 0.0000, 0.5000)
Ag (0.0000, 0.0000, 0.5000)

Properties
Its calculated formation energy is 1.33 eV per atom. For the volume, the calculation gives 114 Å³ per cell. Its crystal system is tetragonal. Its space group is P4/mmm (123).

---

Here is crystalline IrRu2Pb at its relaxed geometry from the Alexandria database. Energies are from PBE-GGA.

Cell: 4.8397 4.8397 4.8397 Å, 130.20 130.20 73.08°
Fractional coordinates of all 4 atoms:
Ir (0.0000, 0.0000, 0.0000)
Ru (0.2500, 0.7500, 0.5000)
Ru (0.7500, 0.2500, 0.5000)
Pb (0.5000, 0.5000, 0.0000)

Properties
Its calculated formation energy is 0.43 eV per atom. For the volume, the calculation gives 65 Å³ per cell. Its crystal system is tetragonal. Its space group is I4/mmm (139).

---

Here is crystalline TbCePrHg at its relaxed geometry from the Alexandria database. Energies are from PBE-GGA.

Cell: 5.4239 5.4239 5.4239 Å, 60.00 60.00 60.00°
Fractional coordinates of all 4 atoms:
Tb (0.0000, 0.0000, 0.0000)
Ce (0.2500, 0.2500, 0.2500)
Pr (0.5000, 0.5000, 0.5000)
Hg (0.7500, 0.7500, 0.7500)

Properties
Its calculated formation energy is 0.00 eV per atom. For the volume, the calculation gives 113 Å³ per cell. Its crystal system is cubic. Its space group is F-43m (216).

---

Here is crystalline Ho13In2 at its relaxed geometry from the Alexandria database. Energies are from PBE-GGA.

Cell: 6.6553 8.5111 8.8402 Å, 66.70 79.17 82.52°
Fractional coordinates of all 15 atoms:
Ho (0.0000, 0.0000, 0.0000)
Ho (0.1213, 0.4825, 0.7383)
Ho (0.1996, 0.2261, 0.1549)
Ho (0.2566, 0.9373, 0.5821)
Ho (0.3044, 0.6541, 0.9761)
Ho (0.3669, 0.4122, 0.3913)
Ho (0.4871, 0.1456, 0.7951)
Ho (0.5129, 0.8544, 0.2049)
Ho (0.6331, 0.5878, 0.6087)
Ho (0.6956, 0.3459, 0.0239)
Ho (0.7434, 0.0627, 0.4179)
Ho (0.8004, 0.7739, 0.8451)
Ho (0.8787, 0.5175, 0.2617)
In (0.0597, 0.7686, 0.3787)
In (0.9403, 0.2314, 0.6213)

Properties
Its calculated formation energy is -0.09 eV per atom. For the volume, the calculation gives 451 Å³ per cell. Its crystal system is triclinic. Its space group is P-1 (2).

---

Here is crystalline SrAs2O6 at its relaxed geometry from the Alexandria database. Energies are from PBE-GGA.

Cell: 4.9509 4.9509 5.5040 Å, 90.00 90.00 120.00°
Fractional coordinates of all 9 atoms:
Sr (0.0000, 0.0000, 0.0000)
As (0.3333, 0.6667, 0.5000)
As (0.6667, 0.3333, 0.5000)
O (0.0000, 0.3838, 0.3074)
O (0.0000, 0.6162, 0.6926)
O (0.3838, 0.0000, 0.3074)
O (0.3838, 0.3838, 0.6926)
O (0.6162, 0.0000, 0.6926)
O (0.6162, 0.6162, 0.3074)

Properties
For the volume, the calculation gives 117 Å³ per cell. Its crystal system is trigonal. Its space group is P-31m (162). The value obtained for the energy relative to the elements, uncorrected is -1.768 eV/atom. The calculation puts the excess energy over the best structure of this formula in the dataset at 1 meV per atom.

---

Here is crystalline BeFeCuSi at its relaxed geometry from the Alexandria database. Energies are from PBE-GGA.

Cell: 3.8849 3.8849 3.8849 Å, 60.00 60.00 60.00°
Fractional coordinates of all 4 atoms:
Be (0.0000, 0.0000, 0.0000)
Fe (0.2500, 0.2500, 0.2500)
Cu (0.7500, 0.7500, 0.7500)
Si (0.5000, 0.5000, 0.5000)

Properties
For the volume, the calculation gives 41 Å³ per cell. Its crystal system is cubic. Its space group is F-43m (216). The value obtained for the energy relative to the elements, uncorrected is -0.139 eV/atom.

---

Here is crystalline AcZn12Ga6 at its relaxed geometry from the Alexandria database. Energies are from PBE-GGA.

Cell: 7.2711 7.2711 7.2711 Å, 102.28 102.28 102.28°
Fractional coordinates of all 19 atoms:
Ac (0.0000, 0.0000, 0.0000)
Zn (0.1077, 0.5000, 0.8923)
Zn (0.1077, 0.8923, 0.5000)
Zn (0.1431, 0.3857, 0.3857)
Zn (0.3857, 0.1431, 0.3857)
Zn (0.3857, 0.3857, 0.1431)
Zn (0.5000, 0.1077, 0.8923)
Zn (0.5000, 0.8923, 0.1077)
Zn (0.6143, 0.6143, 0.8569)
Zn (0.6143, 0.8569, 0.6143)
Zn (0.8569, 0.6143, 0.6143)
Zn (0.8923, 0.1077, 0.5000)
Zn (0.8923, 0.5000, 0.1077)
Ga (0.2827, 0.2827, 0.7141)
Ga (0.2827, 0.7141, 0.2827)
Ga (0.2859, 0.7173, 0.7173)
Ga (0.7141, 0.2827, 0.2827)
Ga (0.7173, 0.2859, 0.7173)
Ga (0.7173, 0.7173, 0.2859)

Properties
Its calculated formation energy is 0.00 eV per atom. For the volume, the calculation gives 353 Å³ per cell. Its crystal system is trigonal. Its space group is R-3m (166).

---

Here is crystalline Ca2ZnCd5 at its relaxed geometry from the Alexandria database. Energies are from PBE-GGA.

Cell: 9.1429 9.1429 10.1166 Å, 90.00 90.00 151.21°
Fractional coordinates of all 16 atoms:
Ca (0.0000, 0.0000, 0.0000)
Ca (0.0000, 0.0000, 0.5000)
Ca (0.1872, 0.8128, 0.7500)
Ca (0.8128, 0.1872, 0.2500)
Zn (0.4537, 0.5463, 0.2500)
Zn (0.5463, 0.4537, 0.7500)
Cd (0.1983, 0.8017, 0.1038)
Cd (0.1983, 0.8017, 0.3962)
Cd (0.3650, 0.6350, 0.0343)
Cd (0.3650, 0.6350, 0.4657)
Cd (0.3961, 0.6039, 0.7500)
Cd (0.6039, 0.3961, 0.2500)
Cd (0.6350, 0.3650, 0.5343)
Cd (0.6350, 0.3650, 0.9657)
Cd (0.8017, 0.1983, 0.6038)
Cd (0.8017, 0.1983, 0.8962)

Properties
Its calculated formation energy is -0.23 eV per atom. For the volume, the calculation gives 407 Å³ per cell. Its crystal system is orthorhombic. Its space group is Cmcm (63).

---

Here is crystalline RbPdPb at its relaxed geometry from the Alexandria database. Energies are from PBE-GGA.

Cell: 3.6133 7.6176 8.3716 Å, 116.96 102.45 90.00°
Fractional coordinates of all 6 atoms:
Rb (0.1481, 0.1464, 0.2949)
Rb (0.8519, 0.8536, 0.7051)
Pd (0.4994, 0.3089, 0.9991)
Pd (0.5006, 0.6911, 0.0009)
Pb (0.1154, 0.6142, 0.2314)
Pb (0.8846, 0.3858, 0.7686)

Properties
Its calculated formation energy is -0.12 eV per atom. For the volume, the calculation gives 199 Å³ per cell. Its crystal system is triclinic. Its space group is P-1 (2). The calculation puts the excess energy over the best structure of this formula in the dataset at 117 meV per atom.

---

- Among the records above, which one has the highest volume?
  Ho13In2

---

- Look up the volume of the fifth one.
  65 Å³ per cell

---

- Which of these has the lowest volume?
  BeFeCuSi